1.
Material: KHg3P
Method: DFT, PBE-GGA
State: optimized geometry

abc: 5.4044 5.4044 5.4044
angles: 90.00 90.00 90.00
Atoms (fractional coordinates):
K1 0.0000 0.0000 0.0000
Hg1 0.0000 0.5000 0.5000
Hg2 0.5000 0.0000 0.5000
Hg3 0.5000 0.5000 0.0000
P1 0.5000 0.5000 0.5000

Output
Formation energy from the elements: 7 kJ/mol of atoms
Crystal system: cubic
Fermi-level density of states: 3.96 states/eV per cell

***

2.
Material: CeNd12Tm5
Method: DFT, PBE-GGA
State: optimized geometry

abc: 10.8610 10.8610 5.1320
angles: 90.00 90.00 90.12
Atoms (fractional coordinates):
Ce1 0.0000 0.0000 0.0000
Nd1 0.0020 0.6694 0.0000
Nd2 0.1631 0.1631 0.5000
Nd3 0.1697 0.5020 0.5000
Nd4 0.3306 0.9980 0.0000
Nd5 0.3362 0.3362 0.0000
Nd6 0.4980 0.8303 0.5000
Nd7 0.5020 0.1697 0.5000
Nd8 0.6638 0.6638 0.0000
Nd9 0.6694 0.0020 0.0000
Nd10 0.8303 0.4980 0.5000
Nd11 0.8369 0.8369 0.5000
Nd12 0.9980 0.3306 0.0000
Tm1 0.1661 0.8339 0.5000
Tm2 0.3330 0.6670 0.0000
Tm3 0.5000 0.5000 0.5000
Tm4 0.6670 0.3330 0.0000
Tm5 0.8339 0.1661 0.5000

Output
Formation energy from the elements: 4 kJ/mol of atoms
Crystal system: orthorhombic
Fermi-level density of states: 31.53 states/eV per cell

***

3.
Material: Nd6Sm2Er
Method: DFT, PBE-GGA
State: optimized geometry

abc: 10.1330 10.1330 3.6690
angles: 90.00 90.00 124.10
Atoms (fractional coordinates):
Nd1 0.0106 0.3396 0.0000
Nd2 0.1848 0.1848 0.5000
Nd3 0.3396 0.0106 0.0000
Nd4 0.6604 0.9894 0.0000
Nd5 0.8152 0.8152 0.5000
Nd6 0.9894 0.6604 0.0000
Sm1 0.3241 0.6759 0.5000
Sm2 0.6759 0.3241 0.5000
Er1 0.5000 0.5000 0.0000

Output
Formation energy from the elements: 13 kJ/mol of atoms
Crystal system: orthorhombic
Fermi-level density of states: 12.65 states/eV per cell

***

4.
Material: LaZn2SiPt4
Method: DFT, PBE-GGA
State: optimized geometry

abc: 9.0971 9.0971 9.0971
angles: 27.53 27.53 27.53
Atoms (fractional coordinates):
La1 0.0000 0.0000 0.0000
Zn1 0.2455 0.2455 0.2455
Zn2 0.7545 0.7545 0.7545
Si1 0.5000 0.5000 0.5000
Pt1 0.1382 0.1382 0.1382
Pt2 0.4076 0.4076 0.4076
Pt3 0.5924 0.5924 0.5924
Pt4 0.8618 0.8618 0.8618

Output
Crystal system: trigonal
Energy relative to the elements, uncorrected: -752 meV per atom
Fermi-level density of states: 3.15 states/eV per cell

***

5.
Material: LaMg2CuBi
Method: DFT, PBE-GGA
State: optimized geometry

abc: 4.9689 4.9689 5.4533
angles: 90.00 90.00 90.00
Atoms (fractional coordinates):
La1 0.0000 0.0000 0.0000
Mg1 0.0000 0.5000 0.5000
Mg2 0.5000 0.0000 0.5000
Cu1 0.0000 0.0000 0.5000
Bi1 0.5000 0.5000 0.0000

Output
Formation energy from the elements: -22 kJ/mol of atoms
Crystal system: tetragonal
Fermi-level density of states: 3.27 states/eV per cell

***

6.
Material: Li8Ag3Pd3
Method: DFT, PBE-GGA
State: optimized geometry

abc: 7.6279 7.6279 7.6279
angles: 145.69 114.07 76.47
Atoms (fractional coordinates):
Li1 0.0457 0.2018 0.8439
Li2 0.0744 0.4022 0.6723
Li3 0.2701 0.5978 0.6723
Li4 0.3579 0.2018 0.1561
Li5 0.6421 0.7982 0.8439
Li6 0.7299 0.4022 0.3277
Li7 0.9256 0.5978 0.3277
Li8 0.9543 0.7982 0.1561
Ag1 0.3034 0.8034 0.5000
Ag2 0.5000 0.5000 0.0000
Ag3 0.6966 0.1966 0.5000
Pd1 0.0000 0.0000 0.0000
Pd2 0.3176 0.0000 0.3176
Pd3 0.6824 0.0000 0.6824

Output
Formation energy from the elements: -20 kJ/mol of atoms
Crystal system: orthorhombic
Fermi-level density of states: 4.02 states/eV per cell

***

7.
Material: Mg4CdPd3
Method: DFT, PBE-GGA
State: optimized geometry

abc: 7.9897 7.9897 7.9897
angles: 33.43 33.43 33.43
Atoms (fractional coordinates):
Mg1 0.1189 0.1189 0.1189
Mg2 0.3698 0.3698 0.3698
Mg3 0.6302 0.6302 0.6302
Mg4 0.8811 0.8811 0.8811
Cd1 0.5000 0.5000 0.5000
Pd1 0.0000 0.0000 0.0000
Pd2 0.2477 0.2477 0.2477
Pd3 0.7523 0.7523 0.7523

Output
Formation energy from the elements: -55 kJ/mol of atoms
Crystal system: trigonal
Fermi-level density of states: 3.92 states/eV per cell

***

8.
Material: ZnHgI2
Method: DFT, PBE-GGA
State: optimized geometry

abc: 11.9275 11.9275 11.9275
angles: 19.66 19.66 19.66
Atoms (fractional coordinates):
Zn1 0.0000 0.0000 0.0000
Hg1 0.5000 0.5000 0.5000
I1 0.3799 0.3799 0.3799
I2 0.6201 0.6201 0.6201

Output
Crystal system: trigonal
Energy relative to the elements, uncorrected: -318 meV per atom
Fermi-level density of states: 0.00 states/eV per cell